Record 1
{
  "formula": "CoNiP",
  "functional": "PBE",
  "state": "optimized geometry",
  "space_group": "P6_3mc (186)",
  "mass_density_g_cm3": 7.2,
  "dft_energy_ev_per_atom": -6.449,
  "lattice_angstrom": [[3.615, 0.000, 0.000], [-1.808, 3.131, 0.000], [0.000, 0.000, 6.075]],
  "species": ["Co", "Co", "Ni", "Ni", "P", "P"],
  "frac_coords": [[0.000, 0.000, 0.298], [0.000, 0.000, 0.798], [0.333, 0.667, 0.043], [0.667, 0.333, 0.543], [0.333, 0.667, 0.409], [0.667, 0.333, 0.909]]
}


Record 2
{
  "formula": "PrCoNiP2",
  "functional": "PBE",
  "state": "optimized geometry",
  "space_group": "I-4m2 (119)",
  "mass_density_g_cm3": 7.1,
  "dft_energy_ev_per_atom": -6.595,
  "lattice_angstrom": [[-0.488, 2.500, 4.964], [-0.578, 5.542, 0.292], [-2.238, -4.303, -2.758]],
  "species": ["Co", "Ni", "P", "P", "Pr"],
  "frac_coords": [[0.000, 0.000, 0.000], [0.500, 0.500, 0.000], [0.119, 0.619, 0.500], [0.381, 0.881, 0.500], [0.750, 0.250, 0.500]]
}


Record 3
{
  "formula": "RbCoNiP2",
  "functional": "PBE",
  "state": "optimized geometry",
  "space_group": "I-4m2 (119)",
  "mass_density_g_cm3": 4.5,
  "dft_energy_ev_per_atom": -5.405,
  "lattice_angstrom": [[5.658, -3.861, -2.172], [6.083, -2.381, 2.994], [-7.126, 0.858, 0.341]],
  "species": ["Co", "Ni", "P", "P", "Rb"],
  "frac_coords": [[0.500, 0.500, 0.000], [0.000, 0.000, 0.000], [0.084, 0.584, 0.500], [0.416, 0.916, 0.500], [0.750, 0.250, 0.500]]
}


Record 4
{
  "formula": "SrCoNiP2",
  "functional": "PBE",
  "state": "optimized geometry",
  "space_group": "I-4m2 (119)",
  "mass_density_g_cm3": 5.3,
  "dft_energy_ev_per_atom": -5.828,
  "lattice_angstrom": [[-5.075, 0.895, 3.663], [-4.102, 4.811, 0.065], [3.052, -4.139, -3.679]],
  "species": ["Co", "Ni", "P", "P", "Sr"],
  "frac_coords": [[0.750, 0.250, 0.500], [0.250, 0.750, 0.500], [0.350, 0.350, 0.000], [0.650, 0.650, 0.000], [0.000, 0.000, 0.000]]
}


Record 5
{
  "formula": "TbCoNiP2",
  "functional": "PBE",
  "state": "optimized geometry",
  "space_group": "I-4m2 (119)",
  "mass_density_g_cm3": 8.1,
  "dft_energy_ev_per_atom": -6.624,
  "lattice_angstrom": [[4.775, -1.709, 1.928], [0.134, -3.883, 3.787], [-2.346, 0.896, -4.809]],
  "species": ["Co", "Ni", "P", "P", "Tb"],
  "frac_coords": [[0.000, 0.000, 0.000], [0.500, 0.500, 0.000], [0.625, 0.125, 0.500], [0.875, 0.375, 0.500], [0.250, 0.750, 0.500]]
}


Record 6
{
  "formula": "Tb2CoNiP4",
  "functional": "PBE",
  "state": "optimized geometry",
  "space_group": "P-3m1 (164)",
  "mass_density_g_cm3": 6.9,
  "dft_energy_ev_per_atom": -6.188,
  "lattice_angstrom": [[3.599, 0.000, 0.000], [-1.800, 3.117, 0.000], [0.000, 0.000, 12.027]],
  "species": ["Co", "Ni", "P", "P", "P", "P", "Tb", "Tb"],
  "frac_coords": [[0.000, 0.000, 0.000], [0.000, 0.000, 0.500], [0.333, 0.667, 0.082], [0.333, 0.667, 0.412], [0.667, 0.333, 0.588], [0.667, 0.333, 0.918], [0.000, 0.000, 0.249], [0.000, 0.000, 0.751]]
}


Record 7
{
  "formula": "CoTc2NiP4",
  "functional": "PBE",
  "state": "optimized geometry",
  "space_group": "P-3m1 (164)",
  "mass_density_g_cm3": 6.9,
  "dft_energy_ev_per_atom": -7.373,
  "lattice_angstrom": [[3.361, 0.000, 0.000], [-1.680, 2.910, 0.000], [0.000, 0.000, 10.804]],
  "species": ["Co", "Ni", "P", "P", "P", "P", "Tc", "Tc"],
  "frac_coords": [[0.000, 0.000, 0.000], [0.000, 0.000, 0.500], [0.333, 0.667, 0.110], [0.333, 0.667, 0.383], [0.667, 0.333, 0.617], [0.667, 0.333, 0.890], [0.000, 0.000, 0.247], [0.000, 0.000, 0.753]]
}


Record 8
{
  "formula": "TmCoNiP2",
  "functional": "PBE",
  "state": "optimized geometry",
  "space_group": "I-4m2 (119)",
  "mass_density_g_cm3": 8.5,
  "dft_energy_ev_per_atom": -6.584,
  "lattice_angstrom": [[-4.214, -3.313, 0.363], [-4.967, 1.960, -0.597], [4.727, 0.211, -2.545]],
  "species": ["Co", "Ni", "P", "P", "Tm"],
  "frac_coords": [[0.250, 0.750, 0.500], [0.750, 0.250, 0.500], [0.377, 0.377, 0.000], [0.623, 0.623, 0.000], [0.000, 0.000, 0.000]]
}


Record 9
{
  "formula": "CoNiP4W2",
  "functional": "PBE",
  "state": "optimized geometry",
  "space_group": "P-3m1 (164)",
  "mass_density_g_cm3": 9.5,
  "dft_energy_ev_per_atom": -8.027,
  "lattice_angstrom": [[3.315, 0.000, 0.000], [-1.658, 2.871, 0.000], [0.000, 0.000, 11.223]],
  "species": ["Co", "Ni", "P", "P", "P", "P", "W", "W"],
  "frac_coords": [[0.000, 0.000, 0.000], [0.000, 0.000, 0.500], [0.667, 0.333, 0.106], [0.667, 0.333, 0.386], [0.333, 0.667, 0.614], [0.333, 0.667, 0.894], [0.000, 0.000, 0.248], [0.000, 0.000, 0.752]]
}


Record 10
{
  "formula": "Zr2CoNiP4",
  "functional": "PBE",
  "state": "optimized geometry",
  "space_group": "P-3m1 (164)",
  "mass_density_g_cm3": 5.8,
  "dft_energy_ev_per_atom": -7.251,
  "lattice_angstrom": [[3.457, 0.000, 0.000], [-1.729, 2.994, 0.000], [0.000, 0.000, 11.682]],
  "species": ["Co", "Ni", "P", "P", "P", "P", "Zr", "Zr"],
  "frac_coords": [[0.000, 0.000, 0.000], [0.000, 0.000, 0.500], [0.333, 0.667, 0.094], [0.333, 0.667, 0.402], [0.667, 0.333, 0.598], [0.667, 0.333, 0.906], [0.000, 0.000, 0.248], [0.000, 0.000, 0.752]]
}


Record 11
{
  "formula": "Zr4CoNiP2",
  "functional": "PBE",
  "state": "optimized geometry",
  "space_group": "Pm (6)",
  "mass_density_g_cm3": 6.7,
  "dft_energy_ev_per_atom": -8.177,
  "lattice_angstrom": [[-0.448, -3.723, -3.690], [3.636, -0.310, -0.129], [-0.021, -3.072, 6.784]],
  "species": ["Co", "Ni", "P", "P", "Zr", "Zr", "Zr", "Zr"],
  "frac_coords": [[0.853, 0.000, 0.207], [0.149, 0.500, 0.789], [0.641, 0.500, 0.289], [0.358, 0.000, 0.711], [0.279, 0.000, 0.072], [0.211, 0.500, 0.419], [0.785, 0.000, 0.575], [0.724, 0.500, 0.937]]
}


Record 12
{
  "formula": "PaCoNi",
  "functional": "PBE",
  "state": "optimized geometry",
  "delta_e_f_ev_per_atom": 0.300,
  "e_above_lowest_polymorph_mev_per_atom": 320,
  "space_group": "F-43m (216)",
  "mass_density_g_cm3": 10.4,
  "dft_energy_ev_per_atom": -7.090,
  "lattice_angstrom": [[1.583, -0.203, 3.979], [1.732, 3.486, 1.798], [-2.025, 1.984, 3.217]],
  "species": ["Co", "Ni", "Pa"],
  "frac_coords": [[0.250, 0.250, 0.250], [0.750, 0.750, 0.750], [0.000, 0.000, 0.000]]
}